[1]
# TaSiGeS2 (GGA-PBE, optimized geometry)
# Fermi-level density of states: 3.18 states/eV per cell
data_TaSiGeS2
_space_group_name_H-M_alt 'P 1'
_space_group_IT_number 1
_space_group_name_Hall 'P 1'
_cell_length_a 4.383
_cell_length_b 5.108
_cell_length_c 4.383
_cell_angle_alpha 90.00
_cell_angle_beta 90.00
_cell_angle_gamma 90.00
loop_
_atom_site_label
_atom_site_fract_x
_atom_site_fract_y
_atom_site_fract_z
Ge1 0.500 0.500 0.500
Si1 0.000 0.000 0.000
S1 0.000 0.000 0.500
S2 0.500 0.000 0.000
Ta1 0.000 0.500 0.000

[2]
# Th4Si2GeS (GGA-PBE, optimized geometry)
# Fermi-level density of states: 4.76 states/eV per cell
data_Th4Si2GeS
_space_group_name_H-M_alt 'P 1'
_space_group_IT_number 1
_space_group_name_Hall 'P 1'
_cell_length_a 4.248
_cell_length_b 7.329
_cell_length_c 7.309
_cell_angle_alpha 70.44
_cell_angle_beta 90.00
_cell_angle_gamma 90.00
loop_
_atom_site_label
_atom_site_fract_x
_atom_site_fract_y
_atom_site_fract_z
Th1 0.000 0.753 0.748
Th2 0.000 0.247 0.252
Th3 0.500 0.755 0.248
Th4 0.500 0.245 0.752
Si1 0.000 0.000 0.000
Si2 0.500 0.000 0.500
Ge1 0.500 0.500 0.000
S1 0.000 0.500 0.500

[3]
# TiSiGeS2 (GGA-PBE, optimized geometry)
# Fermi-level density of states: 5.73 states/eV per cell
data_TiSiGeS2
_space_group_name_H-M_alt 'P 1'
_space_group_IT_number 1
_space_group_name_Hall 'P 1'
_cell_length_a 4.479
_cell_length_b 4.975
_cell_length_c 4.479
_cell_angle_alpha 90.00
_cell_angle_beta 90.00
_cell_angle_gamma 90.00
loop_
_atom_site_label
_atom_site_fract_x
_atom_site_fract_y
_atom_site_fract_z
Ge1 0.500 0.500 0.500
Si1 0.000 0.000 0.000
S1 0.000 0.000 0.500
S2 0.500 0.000 0.000
Ti1 0.000 0.500 0.000

[4]
# Tm6Si2GeS3 (GGA-PBE, optimized geometry)
# Fermi-level density of states: 3.83 states/eV per cell
data_Tm6Si2GeS3
_space_group_name_H-M_alt 'P 1'
_space_group_IT_number 1
_space_group_name_Hall 'P 1'
_cell_length_a 3.978
_cell_length_b 7.978
_cell_length_c 8.913
_cell_angle_alpha 103.63
_cell_angle_beta 102.89
_cell_angle_gamma 90.00
loop_
_atom_site_label
_atom_site_fract_x
_atom_site_fract_y
_atom_site_fract_z
Tm1 0.333 0.914 0.666
Tm2 0.667 0.581 0.335
Tm3 0.667 0.086 0.334
Tm4 0.001 0.250 0.001
Tm5 0.999 0.750 0.999
Tm6 0.333 0.419 0.665
Si1 0.833 0.667 0.667
Si2 0.167 0.333 0.333
Ge1 0.500 0.000 0.000
S1 0.500 0.500 0.000
S2 0.833 0.167 0.667
S3 0.167 0.833 0.333

Listing energy for the structures above in their given order: -26.1; -57.2; -23.7; -71.1 eV per cell.
Listing magnetization for the structures above in their given order: 0.0; 0.0; 0.0; 0.0 μB per formula unit.